[1]
A plane-wave DFT calculation with PBE was carried out for crystalline BaPmH3 at its relaxed geometry.

a b c (Å): 4.541 4.541 4.541
angles (deg): 90.00 90.00 90.00
Space group Pm-3m (No. 221)
Unique sites:
Ba 0.000 0.000 0.000 x1
Pm 0.500 0.500 0.500 x1
H 0.000 0.500 0.500 x3

## Properties
Total magnetic moment in μB per cell: 1.01
Raw total energy in eV per formula unit: -18.389
DOS(E_F) in states/eV/f.u.: 4.2

[2]
A plane-wave DFT calculation with PBE was carried out for crystalline Ba2PmH at its relaxed geometry.

a b c (Å): 3.9034 3.9034 32.0106
angles (deg): 90.00 90.00 120.00
Space group R-3m (No. 166, hexagonal axes)
Unique sites:
Ba 0.0000 0.0000 0.1146 x6
Pm 0.0000 0.0000 0.0000 x3
H 0.0000 0.0000 0.5000 x3

## Properties
Total magnetic moment in μB per cell: 4.02
Raw total energy in eV per formula unit: -11.384
DOS(E_F) in states/eV/f.u.: 5.0

[3]
A plane-wave DFT calculation with PBE was carried out for crystalline BaPmH4 at its relaxed geometry.

a b c (Å): 3.991 3.991 6.109
angles (deg): 90.00 90.00 90.00
Space group P4/mmm (No. 123)
Unique sites:
Ba 0.000 0.000 0.000 x1
Pm 0.500 0.500 0.500 x1
H 0.000 0.500 0.290 x4

## Properties
Total magnetic moment in μB per cell: 0.00
Raw total energy in eV per formula unit: -23.198
DOS(E_F) in states/eV/f.u.: 1.5

[4]
A plane-wave DFT calculation with PBE was carried out for crystalline BaPm2H at its relaxed geometry.

a b c (Å): 3.7424 3.7424 30.1885
angles (deg): 90.00 90.00 120.00
Space group R-3m (No. 166, hexagonal axes)
Unique sites:
Ba 0.0000 0.0000 0.0000 x3
Pm 0.0000 0.0000 0.1217 x6
H 0.0000 0.0000 0.5000 x3

## Properties
Total magnetic moment in μB per cell: 1.04
Raw total energy in eV per formula unit: -14.790
DOS(E_F) in states/eV/f.u.: 4.1

[5]
A plane-wave DFT calculation with PBE was carried out for crystalline Ba3PmH at its relaxed geometry.

a b c (Å): 5.836 5.836 5.836
angles (deg): 90.00 90.00 90.00
Space group Pm-3m (No. 221)
Unique sites:
Ba 0.000 0.000 0.500 x3
Pm 0.500 0.500 0.500 x1
H 0.000 0.000 0.000 x1

## Properties
Total magnetic moment in μB per cell: 0.00
Raw total energy in eV per formula unit: -13.817
DOS(E_F) in states/eV/f.u.: 6.5

[6]
A plane-wave DFT calculation with PBE was carried out for crystalline BaPm3H at its relaxed geometry.

a b c (Å): 5.308 5.308 5.308
angles (deg): 90.00 90.00 90.00
Space group Pm-3m (No. 221)
Unique sites:
Ba 0.000 0.000 0.000 x1
Pm 0.000 0.500 0.500 x3
H 0.500 0.500 0.500 x1

## Properties
Total magnetic moment in μB per cell: 0.00
Raw total energy in eV per formula unit: -19.608
DOS(E_F) in states/eV/f.u.: 5.4

[7]
A plane-wave DFT calculation with PBE was carried out for crystalline BaPmH6Rh2 at its relaxed geometry.

a b c (Å): 8.183 10.058 6.972
angles (deg): 90.00 114.96 90.00
Space group C2/c (No. 15)
Unique sites:
Ba 0.000 0.156 0.250 x4
Pm 0.000 0.411 0.750 x4
H 0.093 0.395 0.120 x8
H 0.166 0.260 0.635 x8
H 0.185 0.042 0.016 x8
Rh 0.185 0.148 0.826 x8

## Properties
Total magnetic moment in μB per cell: 4.05
Raw total energy in eV per formula unit: -45.728
DOS(E_F) in states/eV/f.u.: 1.5

[8]
A plane-wave DFT calculation with PBE was carried out for crystalline Ba2PmH12Rh3 at its relaxed geometry.

a b c (Å): 6.9427 6.9427 14.7886
angles (deg): 90.00 90.00 120.00
Space group R-3m (No. 166, hexagonal axes)
Unique sites:
Ba 0.0000 0.0000 0.1143 x6
Pm 0.0000 0.0000 0.5000 x3
H 0.0218 0.5109 0.8869 x18
H 0.0898 0.5449 0.3243 x18
Rh 0.0000 0.5000 0.0000 x9

## Properties
Total magnetic moment in μB per cell: 0.00
Raw total energy in eV per formula unit: -78.721
DOS(E_F) in states/eV/f.u.: 3.0

[9]
A plane-wave DFT calculation with PBE was carried out for crystalline BaPr2H at its relaxed geometry.

a b c (Å): 3.8045 3.8045 30.5355
angles (deg): 90.00 90.00 120.00
Space group R-3m (No. 166, hexagonal axes)
Unique sites:
Ba 0.0000 0.0000 0.0000 x3
Pr 0.0000 0.0000 0.1211 x6
H 0.0000 0.0000 0.5000 x3

## Properties
Total magnetic moment in μB per cell: 1.12
Raw total energy in eV per formula unit: -14.862
DOS(E_F) in states/eV/f.u.: 4.4

[10]
A plane-wave DFT calculation with PBE was carried out for crystalline BaPr2H7 at its relaxed geometry.

a b c (Å): 4.050 4.050 17.258
angles (deg): 90.00 90.00 90.00
Space group I4/mmm (No. 139)
Unique sites:
Ba 0.000 0.000 0.000 x2
Pr 0.000 0.000 0.334 x4
H 0.000 0.000 0.500 x2
H 0.000 0.500 0.103 x8
H 0.000 0.500 0.250 x4

## Properties
Total magnetic moment in μB per cell: 0.00
Raw total energy in eV per formula unit: -40.395
DOS(E_F) in states/eV/f.u.: 1.5

[11]
A plane-wave DFT calculation with PBE was carried out for crystalline Ba2PrH at its relaxed geometry.

a b c (Å): 3.9317 3.9317 32.1957
angles (deg): 90.00 90.00 120.00
Space group R-3m (No. 166, hexagonal axes)
Unique sites:
Ba 0.0000 0.0000 0.1151 x6
Pr 0.0000 0.0000 0.0000 x3
H 0.0000 0.0000 0.5000 x3

## Properties
Total magnetic moment in μB per cell: 4.14
Raw total energy in eV per formula unit: -11.524
DOS(E_F) in states/eV/f.u.: 4.7

[12]
A plane-wave DFT calculation with PBE was carried out for crystalline BaPrH3 at its relaxed geometry.

a b c (Å): 4.612 4.612 4.612
angles (deg): 90.00 90.00 90.00
Space group Pm-3m (No. 221)
Unique sites:
Ba 0.000 0.000 0.000 x1
Pr 0.500 0.500 0.500 x1
H 0.000 0.500 0.500 x3

## Properties
Total magnetic moment in μB per cell: 1.00
Raw total energy in eV per formula unit: -18.335
DOS(E_F) in states/eV/f.u.: 4.0